# Ac3LaCr2N6 PBE relaxed
# formation energy without anion corrections	-877	meV/atom
# total energy	-8.08	eV per atom
data_Ac3LaCr2N6
_chemical_formula_sum 'Ac3 La1 Cr2 N6'
_cell_length_a 5.9578
_cell_length_b 5.9578
_cell_length_c 7.4089
_cell_angle_alpha 90.00
_cell_angle_beta 90.00
_cell_angle_gamma 120.00
_space_group_name_H-M_alt 'P -3 m 1'
_space_group_IT_number 164
_space_group_name_Hall '-P 3 2"'
loop_
_atom_site_label
_atom_site_type_symbol
_atom_site_fract_x
_atom_site_fract_y
_atom_site_fract_z
_atom_site_occupancy
Ac1 Ac 0.0000 0.0000 0.0000 1
Ac2 Ac 0.3333 0.6667 0.7319 1
La1 La 0.0000 0.0000 0.5000 1
Cr1 Cr 0.3333 0.6667 0.2089 1
N1 N 0.1714 0.3427 0.2681 1

# AcLa2CrN4 PBE relaxed
# formation energy without anion corrections	-1035	meV/atom
# total energy	-8.15	eV per atom
data_AcLa2CrN4
_chemical_formula_sum 'Ac4 La8 Cr4 N16'
_cell_length_a 3.6038
_cell_length_b 12.1930
_cell_length_c 12.4568
_cell_angle_alpha 90.00
_cell_angle_beta 90.00
_cell_angle_gamma 90.00
_space_group_name_H-M_alt 'C m c m'
_space_group_IT_number 63
_space_group_name_Hall '-C 2c 2'
loop_
_atom_site_label
_atom_site_type_symbol
_atom_site_fract_x
_atom_site_fract_y
_atom_site_fract_z
_atom_site_occupancy
Ac1 Ac 0.0000 0.0958 0.2500 1
La1 La 0.0000 0.3673 0.0438 1
Cr1 Cr 0.0000 0.1736 0.7500 1
N1 N 0.0000 0.0000 0.0000 1
N2 N 0.0000 0.2684 0.6363 1
N3 N 0.0000 0.4055 0.2500 1